(1)
Crystalline CuPb3Cl7 at its relaxed geometry. Source: the Alexandria database, functional PBE-GGA.

a = 8.626 Å, b = 8.626 Å, c = 9.169 Å
α = 90.00°, β = 90.00°, γ = 105.88°
Positions (direct):
Cl1 0.903 0.657 0.039
Cl2 0.374 0.626 0.250
Pb1 0.429 0.429 0.500
Cl3 0.933 0.067 0.250
Cl4 0.097 0.343 0.539
Cl5 0.657 0.903 0.961
Pb2 0.001 0.570 0.733
Cl6 0.626 0.374 0.750
Cl7 0.680 0.954 0.556
Cl8 0.046 0.320 0.944
Cl9 0.652 0.348 0.250
Pb3 0.571 0.571 0.000
Cl10 0.320 0.046 0.056
Cl11 0.067 0.933 0.750
Cl12 0.343 0.097 0.461
Cu1 0.070 0.070 0.000
Pb4 0.999 0.430 0.233
Cu2 0.930 0.930 0.500
Cl13 0.954 0.680 0.444
Cl14 0.348 0.652 0.750
Pb5 0.570 0.001 0.267
Pb6 0.430 0.999 0.767

Calculated values
V = 656 Å³ per cell
Uncorrected formation energy = -0.968 eV/atom

(2)
Crystalline CuPb3Cl at its relaxed geometry. Source: the Alexandria database, functional PBE-GGA.

a = 5.526 Å, b = 5.526 Å, c = 5.526 Å
α = 90.00°, β = 90.00°, γ = 90.00°
Positions (direct):
Pb1 0.000 0.500 0.000
Cu1 0.500 0.500 0.500
Pb2 0.500 0.000 0.000
Cl1 0.000 0.000 0.000
Pb3 0.000 0.000 0.500

Calculated values
V = 169 Å³ per cell
Energy above the most stable polymorph in this dataset = 0.500 eV per atom
Uncorrected formation energy = 0.596 eV/atom

(3)
Crystalline Cu2PbCl at its relaxed geometry. Source: the Alexandria database, functional PBE-GGA.

a = 7.581 Å, b = 7.581 Å, c = 7.581 Å
α = 26.56°, β = 26.56°, γ = 26.56°
Positions (direct):
Cl1 0.750 0.750 0.750
Cu1 0.494 0.494 0.494
Cu2 0.006 0.006 0.006
Pb1 0.250 0.250 0.250

Calculated values
V = 77 Å³ per cell
Energy above the most stable polymorph in this dataset = 0.150 eV per atom
Uncorrected formation energy = 0.073 eV/atom

(4)
Crystalline Cu2PbCl at its relaxed geometry. Source: the Alexandria database, functional PBE-GGA.

a = 3.543 Å, b = 3.543 Å, c = 7.827 Å
α = 90.00°, β = 90.00°, γ = 122.24°
Positions (direct):
Cu1 0.000 0.000 0.978
Cu2 0.000 0.000 0.522
Pb1 0.500 0.500 0.250
Cl1 0.500 0.500 0.750

Calculated values
V = 83 Å³ per cell
Energy above the most stable polymorph in this dataset = 0.218 eV per atom
Uncorrected formation energy = 0.141 eV/atom

(5)
Crystalline Cu2PbCl at its relaxed geometry. Source: the Alexandria database, functional PBE-GGA.

a = 4.843 Å, b = 4.843 Å, c = 3.576 Å
α = 90.00°, β = 90.00°, γ = 108.79°
Positions (direct):
Cl1 0.000 0.500 0.500
Cu1 0.000 0.000 0.000
Cu2 0.500 0.500 0.000
Pb1 0.500 0.000 0.500

Calculated values
V = 79 Å³ per cell
Energy above the most stable polymorph in this dataset = 0.343 eV per atom
Uncorrected formation energy = 0.265 eV/atom

(6)
Crystalline CuPb2Cl at its relaxed geometry. Source: the Alexandria database, functional PBE-GGA.

a = 3.590 Å, b = 3.590 Å, c = 9.370 Å
α = 90.00°, β = 90.00°, γ = 121.19°
Positions (direct):
Cu1 0.500 0.500 0.725
Pb1 0.500 0.500 0.261
Pb2 0.000 0.000 0.950
Cl1 0.000 0.000 0.564

Calculated values
V = 103 Å³ per cell
Energy above the most stable polymorph in this dataset = 0.048 eV per atom
Uncorrected formation energy = -0.119 eV/atom

(7)
Crystalline Cu2PbCl at its relaxed geometry. Source: the Alexandria database, functional PBE-GGA.

a = 3.368 Å, b = 4.144 Å, c = 6.193 Å
α = 90.04°, β = 90.00°, γ = 90.00°
Positions (direct):
Pb1 0.500 0.250 0.250
Cu1 0.000 0.751 0.448
Cu2 0.000 0.749 0.052
Cl1 0.500 0.750 0.750

Calculated values
V = 86 Å³ per cell
Energy above the most stable polymorph in this dataset = 0.129 eV per atom
Uncorrected formation energy = 0.051 eV/atom

(8)
Crystalline Cu2PbCl at its relaxed geometry. Source: the Alexandria database, functional PBE-GGA.

a = 4.883 Å, b = 4.883 Å, c = 4.883 Å
α = 60.00°, β = 60.00°, γ = 60.00°
Positions (direct):
Cu1 0.000 0.000 0.000
Cl1 0.500 0.500 0.500
Cu2 0.250 0.250 0.250
Pb1 0.750 0.750 0.750

Calculated values
V = 82 Å³ per cell
Energy above the most stable polymorph in this dataset = 0.447 eV per atom
Uncorrected formation energy = 0.370 eV/atom